(1)
# Nd4RhSCl2

Crystalline Nd4RhSCl2 at its relaxed geometry (PBE, the Alexandria database).

Lattice parameters (Å, degrees): 7.339 3.982 7.440 90.00 107.74 90.00
Fractional coordinates of all 8 atoms:
1 Nd 0.228 0.000 0.217
2 Nd 0.264 0.500 0.780
3 Nd 0.736 0.500 0.220
4 Nd 0.772 0.000 0.783
5 Rh 0.000 0.500 0.000
6 S 0.500 0.000 0.000
7 Cl 0.000 0.000 0.500
8 Cl 0.500 0.500 0.500

Properties
Mass density in Mg/m³: 6.3
Total energy in eV/atom: -5.685
Formation energy from raw total energies in eV per formula unit: -11.23



(2)
# TbAg2GeSe4

Crystalline TbAg2GeSe4 at its relaxed geometry (PBE, the Alexandria database).

Lattice parameters (Å, degrees): 8.736 7.646 6.930 90.00 90.00 90.00
Fractional coordinates of all 16 atoms:
1 Tb 0.000 0.172 0.000
2 Tb 0.500 0.828 0.500
3 Ag 0.241 0.299 0.546
4 Ag 0.259 0.701 0.046
5 Ag 0.741 0.701 0.046
6 Ag 0.759 0.299 0.546
7 Ge 0.000 0.816 0.522
8 Ge 0.500 0.184 0.022
9 Se 0.000 0.134 0.399
10 Se 0.000 0.826 0.886
11 Se 0.234 0.642 0.419
12 Se 0.266 0.358 0.919
13 Se 0.500 0.174 0.386
14 Se 0.500 0.866 0.899
15 Se 0.734 0.358 0.919
16 Se 0.766 0.642 0.419

Properties
Mass density in Mg/m³: 5.5
Total energy in eV/atom: -4.187
Formation energy from raw total energies in eV per formula unit: -4.61



(3)
# NdTl2CuCl6

Crystalline NdTl2CuCl6 at its relaxed geometry (PBE, the Alexandria database).

Lattice parameters (Å, degrees): 7.978 7.978 6.610 109.92 109.92 53.43
Fractional coordinates of all 10 atoms:
1 Nd 0.000 0.000 0.000
2 Tl 0.257 0.257 0.803
3 Tl 0.743 0.743 0.197
4 Cu 0.500 0.500 0.500
5 Cl 0.197 0.197 0.292
6 Cl 0.201 0.669 0.220
7 Cl 0.331 0.799 0.780
8 Cl 0.669 0.201 0.220
9 Cl 0.799 0.331 0.780
10 Cl 0.803 0.803 0.708

Properties
Mass density in Mg/m³: 4.4
Total energy in eV/atom: -3.824
Formation energy from raw total energies in eV per formula unit: -13.57



(4)
# CaZn2Ga3

Crystalline CaZn2Ga3 at its relaxed geometry (PBE, the Alexandria database).

Lattice parameters (Å, degrees): 5.592 5.592 4.323 90.00 90.00 120.00
Fractional coordinates of all 6 atoms:
1 Ca 0.000 0.000 0.000
2 Zn 0.333 0.667 0.000
3 Zn 0.667 0.333 0.000
4 Ga 0.000 0.500 0.500
5 Ga 0.500 0.000 0.500
6 Ga 0.500 0.500 0.500

Properties
Mass density in Mg/m³: 5.4
Total energy in eV/atom: -2.493



(5)
# LiTc2Hg

Crystalline LiTc2Hg at its relaxed geometry (PBE, the Alexandria database).

Lattice parameters (Å, degrees): 2.842 2.842 28.010 90.00 90.00 120.00
Fractional coordinates of all 12 atoms:
1 Li 0.000 0.000 0.000
2 Li 0.333 0.667 0.667
3 Li 0.667 0.333 0.333
4 Tc 0.000 0.000 0.250
5 Tc 0.000 0.000 0.512
6 Tc 0.333 0.667 0.179
7 Tc 0.333 0.667 0.917
8 Tc 0.667 0.333 0.583
9 Tc 0.667 0.333 0.845
10 Hg 0.000 0.000 0.752
11 Hg 0.333 0.667 0.419
12 Hg 0.667 0.333 0.086

Properties
Mass density in Mg/m³: 10.3
Total energy in eV/atom: -5.600



(6)
# Sr2TiRu

Crystalline Sr2TiRu at its relaxed geometry (PBE, the Alexandria database).

Lattice parameters (Å, degrees): 7.457 7.457 7.457 90.00 90.00 90.00
Fractional coordinates of all 16 atoms:
1 Sr 0.250 0.250 0.250
2 Sr 0.250 0.250 0.750
3 Sr 0.250 0.750 0.250
4 Sr 0.250 0.750 0.750
5 Sr 0.750 0.250 0.250
6 Sr 0.750 0.250 0.750
7 Sr 0.750 0.750 0.250
8 Sr 0.750 0.750 0.750
9 Ti 0.000 0.000 0.000
10 Ti 0.000 0.500 0.500
11 Ti 0.500 0.000 0.500
12 Ti 0.500 0.500 0.000
13 Ru 0.000 0.000 0.500
14 Ru 0.000 0.500 0.000
15 Ru 0.500 0.000 0.000
16 Ru 0.500 0.500 0.500

Properties
Mass density in Mg/m³: 5.2
Total energy in eV/atom: -4.196
Energy above the lowest structure with this stoichiometry in eV per atom: 0.507



(7)
# BaHfAu

Crystalline BaHfAu at its relaxed geometry (PBE, the Alexandria database).

Lattice parameters (Å, degrees): 3.691 3.691 12.681 90.00 90.00 90.00
Fractional coordinates of all 6 atoms:
1 Ba 0.000 0.000 0.171
2 Ba 0.000 0.000 0.829
3 Hf 0.500 0.500 0.389
4 Hf 0.500 0.500 0.611
5 Au 0.000 0.000 0.500
6 Au 0.500 0.500 0.000

Properties
Mass density in Mg/m³: 9.9
Total energy in eV/atom: -5.057



(8)
# Mg16Zn12Sn

Crystalline Mg16Zn12Sn at its relaxed geometry (PBE, the Alexandria database).

Lattice parameters (Å, degrees): 8.682 8.682 9.103 108.79 108.79 106.59
Fractional coordinates of all 29 atoms:
1 Mg 0.000 0.000 0.000
2 Mg 0.001 0.399 0.996
3 Mg 0.013 0.318 0.295
4 Mg 0.088 0.699 0.349
5 Mg 0.093 0.351 0.676
6 Mg 0.290 0.290 0.988
7 Mg 0.317 0.687 0.670
8 Mg 0.318 0.013 0.295
9 Mg 0.351 0.093 0.676
10 Mg 0.372 0.686 0.086
11 Mg 0.399 0.001 0.996
12 Mg 0.686 0.372 0.086
13 Mg 0.687 0.317 0.670
14 Mg 0.687 0.687 0.678
15 Mg 0.699 0.088 0.349
16 Mg 0.718 0.718 0.365
17 Zn 0.052 0.671 0.860
18 Zn 0.058 0.870 0.694
19 Zn 0.344 0.537 0.326
20 Zn 0.357 0.357 0.519
21 Zn 0.487 0.487 0.849
22 Zn 0.509 0.889 0.502
23 Zn 0.537 0.344 0.326
24 Zn 0.651 0.844 0.009
25 Zn 0.671 0.052 0.860
26 Zn 0.844 0.651 0.009
27 Zn 0.870 0.058 0.694
28 Zn 0.889 0.509 0.502
29 Sn 0.996 0.996 0.337

Properties
Mass density in Mg/m³: 3.9
Total energy in eV/atom: -1.616